(1)
A plane-wave DFT calculation with GGA-PBEsol was carried out for a relaxed TlCuHSeO5 crystal.

Computed properties:
DFT total energy = -5.208 eV/atom
crystal system = monoclinic

Unit cell a=4.575 b=5.864 c=8.982 alpha=90.00 beta=95.02 gamma=90.00
Space group P2_1/m (No. 11)
Unique sites:
Tl1 0.098 0.250 0.388 x2
Cu1 0.000 0.000 0.000 x2
H1 0.408 0.250 0.104 x2
Se1 0.487 0.250 0.768 x2
O1 0.192 0.250 0.106 x2
O2 0.275 0.750 0.070 x2
O3 0.290 0.014 0.781 x4
O4 0.326 0.750 0.381 x2

***

(2)
A plane-wave DFT calculation with GGA-PBEsol was carried out for a relaxed Tl2CuH12Se2O14 crystal.

Computed properties:
DFT total energy = -5.119 eV/atom
crystal system = monoclinic

Unit cell a=6.277 b=12.317 c=9.276 alpha=90.00 beta=103.91 gamma=90.00
Space group P2_1/c (No. 14)
Unique sites:
Tl1 0.164 0.154 0.372 x4
Cu1 0.500 0.000 0.000 x2
H1 0.172 0.556 0.598 x4
H2 0.184 0.637 0.464 x4
H3 0.188 0.085 0.811 x4
H4 0.417 0.123 0.770 x4
H5 0.421 0.601 0.205 x4
H6 0.494 0.194 0.175 x4
Se1 0.223 0.637 0.890 x4
O1 0.077 0.749 0.897 x4
O2 0.084 0.560 0.749 x4
O3 0.217 0.561 0.501 x4
O4 0.251 0.565 0.045 x4
O5 0.344 0.109 0.854 x4
O6 0.463 0.119 0.203 x4
O7 0.468 0.671 0.862 x4

***

(3)
A plane-wave DFT calculation with GGA-PBEsol was carried out for a relaxed V2Cu5H4O12 crystal.

Computed properties:
DFT total energy = -6.278 eV/atom
crystal system = triclinic

Unit cell a=5.368 b=6.227 c=6.722 alpha=93.20 beta=90.34 gamma=90.38
Space group P-1 (No. 2)
Unique sites:
V1 0.053 0.193 0.314 x2
Cu1 0.001 0.685 0.176 x2
Cu2 0.498 0.844 0.337 x2
Cu3 0.500 0.500 0.000 x1
H1 0.281 0.886 0.983 x2
H2 0.291 0.527 0.644 x2
O1 0.114 0.017 0.807 x2
O2 0.116 0.387 0.147 x2
O3 0.133 0.699 0.506 x2
O4 0.329 0.418 0.746 x2
O5 0.330 0.776 0.082 x2
O6 0.343 0.113 0.407 x2

***

(4)
A plane-wave DFT calculation with GGA-PBEsol was carried out for a relaxed V2Cu3H6O11 crystal.

Computed properties:
distance to the lowest polymorph of the same formula = 0.004 eV per atom
DFT total energy = -6.293 eV/atom
crystal system = monoclinic

Unit cell a=10.716 b=5.722 c=7.077 alpha=90.00 beta=96.92 gamma=90.00
Space group C2 (No. 5)
Unique sites:
V1 0.002 0.000 0.249 x4
Cu1 0.000 0.499 0.500 x2
Cu2 0.249 0.249 0.499 x4
H1 0.130 0.596 0.907 x4
H2 0.151 0.509 0.231 x4
H3 0.206 0.371 0.976 x4
O1 0.000 0.010 0.000 x2
O2 0.073 0.753 0.697 x4
O3 0.074 0.234 0.682 x4
O4 0.153 0.501 0.378 x4
O5 0.160 0.998 0.355 x4
O6 0.181 0.525 0.021 x4

***

Which formula does entry 2 have? Tl2CuH12Se2O14

***

Which of these has the highest DFT total energy? Tl2CuH12Se2O14

***

What is the formula in the second record? Tl2CuH12Se2O14

***

The highest DFT total energy belongs to which entry? Tl2CuH12Se2O14